(1)
# KY2GaFe | Alexandria | GGA-PBE | optimized geometry
data_KY2GaFe
_chemical_formula_sum 'K1 Y2 Ga1 Fe1'
_cell_length_a 5.524
_cell_length_b 5.871
_cell_length_c 5.524
_cell_angle_alpha 90.00
_cell_angle_beta 90.00
_cell_angle_gamma 90.00
_symmetry_space_group_name_H-M 'P 1'
_symmetry_Int_Tables_number 1
loop_
_symmetry_equiv_pos_as_xyz
'x,y,z'
loop_
_atom_site_label
_atom_site_fract_x
_atom_site_fract_y
_atom_site_fract_z
Y1 0.000 0.000 0.500
Y2 0.500 0.000 0.000
K1 0.000 0.500 0.000
Fe1 0.500 0.500 0.500
Ga1 0.000 0.000 0.000
# Space group: No. 123
# ρ in g/cm³: 3.2
# DFT formation energy in meV per atom: 861.1
# Total magnetic moment in μB/atom: 0.367
# Raw total energy in Ry/atom: -0.312



(2)
# SrTbHo | Alexandria | GGA-PBE | optimized geometry
data_SrTbHo
_chemical_formula_sum 'Sr1 Tb1 Ho1'
_cell_length_a 3.711
_cell_length_b 3.711
_cell_length_c 9.252
_cell_angle_alpha 90.00
_cell_angle_beta 90.00
_cell_angle_gamma 120.00
_symmetry_space_group_name_H-M 'P 1'
_symmetry_Int_Tables_number 1
loop_
_symmetry_equiv_pos_as_xyz
'x,y,z'
loop_
_atom_site_label
_atom_site_fract_x
_atom_site_fract_y
_atom_site_fract_z
Sr1 0.000 0.000 0.999
Tb1 0.667 0.333 0.355
Ho1 0.333 0.667 0.647
# Space group: No. 156
# ρ in g/cm³: 6.2
# DFT formation energy in meV per atom: 158.9
# Total magnetic moment in μB/atom: 0.000
# Raw total energy in Ry/atom: -0.255
# Relative energy among the computed polymorphs in meV per atom: 30



(3)
# TmBeC | Alexandria | GGA-PBE | optimized geometry
data_TmBeC
_chemical_formula_sum 'Tm2 Be2 C2'
_cell_length_a 3.540
_cell_length_b 3.540
_cell_length_c 8.131
_cell_angle_alpha 102.57
_cell_angle_beta 102.57
_cell_angle_gamma 90.00
_symmetry_space_group_name_H-M 'P 1'
_symmetry_Int_Tables_number 1
loop_
_symmetry_equiv_pos_as_xyz
'x,y,z'
loop_
_atom_site_label
_atom_site_fract_x
_atom_site_fract_y
_atom_site_fract_z
Be1 0.067 0.067 0.133
Be2 0.933 0.933 0.867
Tm1 0.673 0.673 0.345
Tm2 0.327 0.327 0.655
C1 0.829 0.829 0.657
C2 0.171 0.171 0.343
# Space group: No. 139
# ρ in g/cm³: 6.5
# DFT formation energy in meV per atom: -26.2
# Total magnetic moment in μB/atom: 0.000
# Raw total energy in Ry/atom: -0.429
# Relative energy among the computed polymorphs in meV per atom: 303



(4)
# La2Sm2Te2Se3 | Alexandria | GGA-PBE | optimized geometry
data_La2Sm2Te2Se3
_chemical_formula_sum 'La2 Sm2 Te2 Se3'
_cell_length_a 5.732
_cell_length_b 5.732
_cell_length_c 9.120
_cell_angle_alpha 108.31
_cell_angle_beta 108.31
_cell_angle_gamma 90.00
_symmetry_space_group_name_H-M 'P 1'
_symmetry_Int_Tables_number 1
loop_
_symmetry_equiv_pos_as_xyz
'x,y,z'
loop_
_atom_site_label
_atom_site_fract_x
_atom_site_fract_y
_atom_site_fract_z
La1 0.195 0.195 0.389
La2 0.805 0.805 0.611
Sm1 0.500 0.000 0.000
Sm2 0.000 0.500 0.000
Te1 0.605 0.605 0.209
Te2 0.395 0.395 0.791
Se1 0.000 0.000 0.000
Se2 0.250 0.750 0.500
Se3 0.750 0.250 0.500
# Space group: No. 139
# ρ in g/cm³: 6.6
# Total magnetic moment in μB/atom: 0.000
# Raw total energy in Ry/atom: -0.408
# Formation energy without anion corrections in eV/atom: -1.544